Computed, not measured: a relaxed structure of MnCrFeRe at the PBE-GGA level of DFT.

a = 4.1243 Å, b = 4.1243 Å, c = 4.1243 Å
α = 60.00°, β = 60.00°, γ = 60.00°
Fractional coordinates of all 4 atoms:
Cr 0.5000 0.5000 0.5000
Fe 0.2500 0.2500 0.2500
Re 0.7500 0.7500 0.7500
Mn 0.0000 0.0000 0.0000

ΔH_f (0 K) (meV per atom): 50
D(E_F) (states/eV/atom): 0.860
DFT total energy (eV per atom): -9.8761